## TbPmZr2 (PBE)

Data for crystalline TbPmZr2 at its relaxed geometry.

Results
- ΔH_f (0 K) (eV per atom) = 0.162
- total DFT energy (no corrections) (eV per cell) = -25.83
- mass density (g/cm³) = 7.412
- total magnetic moment (μB per cell) = 0.000

Cell lengths 4.7259, 4.7259, 4.8788 Å; angles 90.00, 90.00, 90.00 degrees
With the nearest neighbours (Å) after each atom.
Space group P4/mmm (No. 123)
Inequivalent atoms, fractional coordinates:
Tb 0.0000 0.0000 0.0000  4 Pm 3.34, 8 Zr 3.40
Pm 0.5000 0.5000 0.0000  4 Tb 3.34, 8 Zr 3.40
Zr 0.0000 0.5000 0.5000  4 Zr 3.34, 4 Tb 3.40, 4 Pm 3.40